Record 1
An optimized crystal structure of NdDyTm2, computed with PBE.

Computed properties:
Relative energy among the computed polymorphs, meV per atom: 0
Volume, A^3/atom: 32.030
E_form, eV/atom: 0.01
Magnetization, μB per atom: 0.000

Cell: 6.2665 7.2401 11.2954 Å, 90.00 90.03 90.00°
Fractional coordinates of all 16 atoms:
1 Nd 0.1667 0.2493 0.3776
2 Nd 0.1667 0.7507 0.8776
3 Nd 0.8333 0.2493 0.1224
4 Nd 0.8333 0.7507 0.6224
5 Dy 0.3342 0.5003 0.1254
6 Dy 0.3342 0.4997 0.6254
7 Dy 0.6658 0.5003 0.3746
8 Dy 0.6658 0.4997 0.8746
9 Tm 0.1683 0.2483 0.8730
10 Tm 0.1683 0.7517 0.3730
11 Tm 0.3345 0.0008 0.6254
12 Tm 0.3345 0.9992 0.1254
13 Tm 0.6655 0.0008 0.8746
14 Tm 0.6655 0.9992 0.3746
15 Tm 0.8317 0.2483 0.6270
16 Tm 0.8317 0.7517 0.1270

---

Record 2
An optimized crystal structure of Np2Tl2FeS6, computed with PBE.

Computed properties:
Volume, A^3/atom: 25.144
Magnetization, μB per atom: 0.547
Energy relative to the elements, uncorrected, eV/atom: -0.79

Cell: 6.4162 6.4162 8.0590 Å, 98.51 98.51 119.32°
Fractional coordinates of all 11 atoms:
1 Np 0.1662 0.8338 0.0000
2 Np 0.8338 0.1662 0.0000
3 Tl 0.3222 0.6778 0.5000
4 Tl 0.6778 0.3222 0.5000
5 Fe 0.5000 0.5000 0.0000
6 S 0.1319 0.4307 0.8143
7 S 0.2754 0.2754 0.1878
8 S 0.4307 0.1319 0.8143
9 S 0.5693 0.8681 0.1857
10 S 0.7246 0.7246 0.8122
11 S 0.8681 0.5693 0.1857

---

Record 3
An optimized crystal structure of TbY2Mg3, computed with PBE.

Computed properties:
Volume, A^3/atom: 27.453
E_form, eV/atom: -0.10
Magnetization, μB per atom: 0.000

Cell: 3.8072 3.8072 11.3638 Å, 90.00 90.00 90.00°
Fractional coordinates of all 6 atoms:
1 Tb 0.0000 0.0000 0.0000
2 Y 0.0000 0.0000 0.3327
3 Y 0.0000 0.0000 0.6673
4 Mg 0.5000 0.5000 0.1668
5 Mg 0.5000 0.5000 0.5000
6 Mg 0.5000 0.5000 0.8332

---

Number 1: D(E_F) 27.1 states/eV/cell. Number 2: D(E_F) 19.6 states/eV/cell. Number 3: D(E_F) 8.7 states/eV/cell.